Record 1
# PBE Hg3I, relaxed
# total moment = 0.0000 μB per atom
# offset from the most stable computed form = 46 meV/atom
# uncorrected formation energy = -0.057 eV per atom
data_Hg3I
_space_group_name_H-M_alt 'C m c m'
_space_group_IT_number 63
_space_group_name_Hall '-C 2c 2'
_cell_length_a 8.499
_cell_length_b 14.734
_cell_length_c 4.217
_cell_angle_alpha 90.00
_cell_angle_beta 90.00
_cell_angle_gamma 90.00
loop_
_atom_site_label
_atom_site_fract_x
_atom_site_fract_y
_atom_site_fract_z
Hg1 0.000 0.155 0.250
Hg2 0.233 0.078 0.750
I1 0.000 0.333 0.750



Record 2
# PBE Ba2Zn4Ge3Pd, relaxed
# total moment = 0.0000 μB per atom
# ΔE_f = -422 meV per atom
data_Ba2Zn4Ge3Pd
_space_group_name_H-M_alt 'P -4 m 2'
_space_group_IT_number 115
_cell_length_a 4.546
_cell_length_b 4.546
_cell_length_c 10.627
_cell_angle_alpha 90.00
_cell_angle_beta 90.00
_cell_angle_gamma 90.00
loop_
_space_group_symop_operation_xyz
'x,y,z'
'y,-x,-z'
'-x,-y,z'
'-y,x,-z'
'-x,y,z'
'-y,-x,-z'
'x,-y,z'
'y,x,-z'
loop_
_atom_site_label
_atom_site_fract_x
_atom_site_fract_y
_atom_site_fract_z
Ba1 0.000 0.500 0.249
Zn1 0.000 0.000 0.500
Zn2 0.000 0.500 0.880
Zn3 0.500 0.500 0.500
Ge1 0.000 0.000 0.000
Ge2 0.000 0.500 0.631
Pd1 0.500 0.500 0.000



Record 3
# PBE Pm2GeSb, relaxed
# total moment = 0.0000 μB per atom
# offset from the most stable computed form = 308 meV/atom
# uncorrected formation energy = -0.662 eV per atom
data_Pm2GeSb
_space_group_name_H-M_alt 'F m -3 m'
_space_group_IT_number 225
_space_group_name_Hall '-F 4 2 3'
_cell_length_a 7.575
_cell_length_b 7.575
_cell_length_c 7.575
_cell_angle_alpha 90.00
_cell_angle_beta 90.00
_cell_angle_gamma 90.00
loop_
_atom_site_label
_atom_site_fract_x
_atom_site_fract_y
_atom_site_fract_z
Pm1 0.250 0.250 0.250
Ge1 0.000 0.000 0.000
Sb1 0.000 0.000 0.500



Record 4
# PBE Tm3Sc7Tc4, relaxed
# total moment = 0.0000 μB per atom
# ΔE_f = -101 meV per atom
data_Tm3Sc7Tc4
_space_group_name_H-M_alt 'C 1 2/m 1'
_space_group_IT_number 12
_cell_length_a 17.915
_cell_length_b 3.586
_cell_length_c 11.222
_cell_angle_alpha 90.00
_cell_angle_beta 121.95
_cell_angle_gamma 90.00
loop_
_space_group_symop_operation_xyz
'x,y,z'
'-x,-y,-z'
'-x,y,-z'
'x,-y,z'
'x+1/2,y+1/2,z'
'-x+1/2,-y+1/2,-z'
'-x+1/2,y+1/2,-z'
'x+1/2,-y+1/2,z'
loop_
_atom_site_label
_atom_site_fract_x
_atom_site_fract_y
_atom_site_fract_z
Tm1 0.000 0.000 0.000
Tm2 0.200 0.500 0.697
Sc1 0.000 0.000 0.500
Sc2 0.004 0.500 0.256
Sc3 0.164 0.000 0.413
Sc4 0.179 0.500 0.013
Tc1 0.120 0.000 0.792
Tc2 0.144 0.500 0.219